No. 1
## SnAsHOsBr (PBE)

Data for a geometry-optimized SnAsHOsBr structure.

Lattice parameters (Å, degrees): 3.7744 3.9301 8.6009 79.57 77.37 61.32
Positions (direct):
Sn (0.1899, 0.3405, 0.2296)
As (0.1040, 0.1360, 0.6072)
H (0.4639, 0.7094, 0.3132)
Os (0.4708, 0.5110, 0.4983)
Br (0.6201, 0.7280, 0.9822)

## Properties
- Crystal system: monoclinic
- Energy: -4.870 eV per atom
- Calculated volume: 21.76 A^3/atom


No. 2
## LiPtSe2 (PBE)

Data for a geometry-optimized LiPtSe2 structure.

Lattice parameters (Å, degrees): 3.7537 3.7537 5.1621 90.00 90.00 90.00
Positions (direct):
Li (0.0000, 0.0000, 0.3917)
Pt (0.5000, 0.5000, 0.8554)
Se (0.0000, 0.0000, 0.8922)
Se (0.5000, 0.5000, 0.3607)

## Properties
- Crystal system: tetragonal
- Energy: -4.166 eV per atom
- Calculated volume: 18.18 A^3/atom
- E_form (uncorrected): -0.4351 eV/atom


No. 3
## Ac3Pr4Pt4 (PBE)

Data for a geometry-optimized Ac3Pr4Pt4 structure.

Lattice parameters (Å, degrees): 4.7697 8.1912 9.5538 115.38 104.46 90.00
Positions (direct):
Ac (0.1027, 0.1027, 0.2055)
Ac (0.8973, 0.8973, 0.7945)
Ac (0.0000, 0.5000, 0.0000)
Pr (0.3282, 0.1171, 0.6564)
Pr (0.6718, 0.4607, 0.3436)
Pr (0.6718, 0.8829, 0.3436)
Pr (0.3282, 0.5393, 0.6564)
Pt (0.2108, 0.7108, 0.4216)
Pt (0.7892, 0.2892, 0.5784)
Pt (0.5000, 0.8099, 0.0000)
Pt (0.5000, 0.1901, 0.0000)

## Properties
- Crystal system: orthorhombic
- Energy of formation from the pure elements: -0.775 eV/atom
- Energy: -5.831 eV per atom
- Calculated volume: 29.46 A^3/atom